Here is crystalline HPdRh2Se at its relaxed geometry from Alexandria. Energies are from PBE.

a b c (Å): 4.573 4.690 4.573
angles (deg): 90.00 90.00 90.00
Atoms (fractional coordinates):
H: 0.500 0.500 0.500
Rh: 0.000 0.000 0.500
Rh: 0.500 0.000 0.000
Se: 0.000 0.000 0.000
Pd: 0.000 0.500 0.000

Computed properties:
Total magnetization   0.0 μB per cell
Space group   P4/mmm (123)
Total energy   -4.310 eV per atom